# Hg3BrN PBE relaxed
# * space-group type: Pm-3m (221)
# * spin magnetization: 0.00 μB per formula unit
# * E above lowest polymorph: 93.9 kJ/mol of formula units
# * V: 116.49 Å³/cell
# * calculated density: 9.9 g cm⁻³
# * formation energy from raw total energies: 0.503 eV per atom
data_Hg3BrN
_chemical_formula_sum 'Hg3 Br1 N1'
_cell_length_a 4.884
_cell_length_b 4.884
_cell_length_c 4.884
_cell_angle_alpha 90.00
_cell_angle_beta 90.00
_cell_angle_gamma 90.00
_symmetry_space_group_name_H-M 'P 1'
_symmetry_Int_Tables_number 1
loop_
_symmetry_equiv_pos_as_xyz
'x,y,z'
loop_
_atom_site_label
_atom_site_fract_x
_atom_site_fract_y
_atom_site_fract_z
Hg1 0.000 0.000 0.500
Hg2 0.000 0.500 0.000
Hg3 0.500 0.000 0.000
Br1 0.500 0.500 0.500
N1 0.000 0.000 0.000

***

# Hg2BrN PBE relaxed
# * space-group type: I-42d (122)
# * spin magnetization: 0.00 μB per formula unit
# * E above lowest polymorph: 32.3 kJ/mol of formula units
# * V: 211.28 Å³/cell
# * calculated density: 7.8 g cm⁻³
# * formation energy from raw total energies: 0.317 eV per atom
data_Hg2BrN
_chemical_formula_sum 'Hg4 Br2 N2'
_cell_length_a 7.013
_cell_length_b 7.013
_cell_length_c 7.013
_cell_angle_alpha 127.36
_cell_angle_beta 127.36
_cell_angle_gamma 77.67
_symmetry_space_group_name_H-M 'P 1'
_symmetry_Int_Tables_number 1
loop_
_symmetry_equiv_pos_as_xyz
'x,y,z'
loop_
_atom_site_label
_atom_site_fract_x
_atom_site_fract_y
_atom_site_fract_z
Hg1 0.375 0.063 0.188
Hg2 0.813 0.625 0.688
Hg3 0.875 0.187 0.812
Hg4 0.937 0.125 0.312
Br1 0.250 0.750 0.500
Br2 0.500 0.500 0.000
N1 0.000 0.000 0.000
N2 0.750 0.250 0.500

***

# HgBr2N PBE relaxed
# * space-group type: R-3m (166)
# * spin magnetization: 0.68 μB per formula unit
# * E above lowest polymorph: 188.4 kJ/mol of formula units
# * V: 104.05 Å³/cell
# * calculated density: 6.0 g cm⁻³
# * formation energy from raw total energies: 1.253 eV per atom
data_HgBr2N
_chemical_formula_sum 'Hg1 Br2 N1'
_cell_length_a 10.104
_cell_length_b 10.104
_cell_length_c 10.104
_cell_angle_alpha 19.85
_cell_angle_beta 19.85
_cell_angle_gamma 19.85
_symmetry_space_group_name_H-M 'P 1'
_symmetry_Int_Tables_number 1
loop_
_symmetry_equiv_pos_as_xyz
'x,y,z'
loop_
_atom_site_label
_atom_site_fract_x
_atom_site_fract_y
_atom_site_fract_z
Hg1 0.000 0.000 0.000
Br1 0.119 0.119 0.119
Br2 0.881 0.881 0.881
N1 0.500 0.500 0.500

***

# HgBrN PBE relaxed
# * space-group type: Pmm2 (25)
# * spin magnetization: 0.00 μB per formula unit
# * E above lowest polymorph: 78.2 kJ/mol of formula units
# * V: 75.71 Å³/cell
# * calculated density: 6.5 g cm⁻³
# * formation energy from raw total energies: 0.995 eV per atom
data_HgBrN
_chemical_formula_sum 'Hg1 Br1 N1'
_cell_length_a 4.031
_cell_length_b 4.444
_cell_length_c 4.227
_cell_angle_alpha 90.00
_cell_angle_beta 90.00
_cell_angle_gamma 90.00
_symmetry_space_group_name_H-M 'P 1'
_symmetry_Int_Tables_number 1
loop_
_symmetry_equiv_pos_as_xyz
'x,y,z'
loop_
_atom_site_label
_atom_site_fract_x
_atom_site_fract_y
_atom_site_fract_z
Hg1 0.000 0.000 0.000
Br1 0.500 0.500 0.688
N1 0.500 0.000 0.846